Computed, not measured: a geometry-optimized Ca3Sm4In4 structure at the PBE level of DFT.

```
Ca3Sm4In4
1.0
-4.228 3.269 -1.195
-1.882 0.131 7.020
8.211 5.424 -1.663
Ca Sm In
3 4 4
direct
0.103 0.103 0.206 Ca
0.897 0.897 0.794 Ca
0.000 0.500 0.000 Ca
0.322 0.088 0.644 Sm
0.678 0.445 0.356 Sm
0.678 0.912 0.356 Sm
0.322 0.555 0.644 Sm
0.180 0.680 0.360 In
0.820 0.320 0.640 In
0.500 0.793 0.000 In
0.500 0.207 0.000 In
```

Summary:
Space-group type   No. 71
ΔE_f   -241.9 meV per atom